No. 1
# CaLa2Er

Crystalline CaLa2Er at its relaxed geometry (PBE, the Alexandria database).

a b c (Å): 3.691 3.691 12.533
angles (deg): 81.53 81.53 60.00
Fractional coordinates of all 4 atoms:
Ca: 0.500 0.500 0.501
La: 0.078 0.078 0.767
La: 0.256 0.256 0.233
Er: 0.667 0.667 0.000

## Properties
The value obtained for the density of states at the Fermi level is 5.3 states/eV/f.u. The value obtained for the magnetic moment is 0.00 μB per formula unit.

No. 2
# Rb2Mg3I8

Crystalline Rb2Mg3I8 at its relaxed geometry (PBE, the Alexandria database).

a b c (Å): 7.601 8.750 9.937
angles (deg): 116.12 105.25 90.00
Fractional coordinates of all 13 atoms:
Rb: 0.668 0.740 0.480
Rb: 0.332 0.260 0.520
Mg: 0.500 0.000 0.000
Mg: 0.000 0.259 0.000
Mg: 0.000 0.741 0.000
I: 0.056 0.397 0.793
I: 0.944 0.603 0.207
I: 0.103 0.904 0.808
I: 0.897 0.096 0.192
I: 0.389 0.859 0.188
I: 0.389 0.329 0.188
I: 0.611 0.671 0.812
I: 0.611 0.141 0.812

## Properties
The value obtained for the density of states at the Fermi level is 0.0 states/eV/f.u. The value obtained for the magnetic moment is 0.00 μB per formula unit. The uncorrected formation energy comes out at -1.1593 eV per atom.

No. 3
# Zr2PdSO

Crystalline Zr2PdSO at its relaxed geometry (PBE, the Alexandria database).

a b c (Å): 5.098 4.322 5.098
angles (deg): 90.00 90.00 90.00
Fractional coordinates of all 5 atoms:
O: 0.500 0.500 0.500
S: 0.000 0.500 0.000
Zr: 0.000 0.000 0.500
Zr: 0.500 0.000 0.000
Pd: 0.000 0.000 0.000

## Properties
The value obtained for the density of states at the Fermi level is 5.5 states/eV/f.u. The value obtained for the magnetic moment is 0.00 μB per formula unit. The uncorrected formation energy comes out at 0.5091 eV per atom.

No. 4
# Ho7Mg

Crystalline Ho7Mg at its relaxed geometry (PBE, the Alexandria database).

a b c (Å): 6.975 6.975 6.975
angles (deg): 60.00 60.00 60.00
Fractional coordinates of all 8 atoms:
Ho: 0.500 0.500 0.000
Ho: 0.500 0.000 0.500
Ho: 0.000 0.500 0.500
Ho: 0.500 0.000 0.000
Ho: 0.000 0.500 0.000
Ho: 0.000 0.000 0.500
Ho: 0.500 0.500 0.500
Mg: 0.000 0.000 0.000

## Properties
The value obtained for the density of states at the Fermi level is 8.2 states/eV/f.u. The value obtained for the magnetic moment is 0.00 μB per formula unit.

No. 5
# Ca2NbTl

Crystalline Ca2NbTl at its relaxed geometry (PBE, the Alexandria database).

a b c (Å): 5.389 5.389 5.389
angles (deg): 60.00 60.00 60.00
Site moments in Bohr magnetons follow the coordinates.
Fractional coordinates of all 4 atoms:
Tl: 0.500 0.500 0.500  -0.06
Ca: 0.250 0.250 0.250  0.10
Ca: 0.750 0.750 0.750  0.10
Nb: 0.000 0.000 0.000  2.52

## Properties
The value obtained for the density of states at the Fermi level is 2.2 states/eV/f.u. The value obtained for the magnetic moment is 3.69 μB per formula unit.

No. 6
# AgP2Cl

Crystalline AgP2Cl at its relaxed geometry (PBE, the Alexandria database).

a b c (Å): 7.842 3.502 3.502
angles (deg): 90.00 90.00 90.00
Fractional coordinates of all 4 atoms:
Ag: 0.500 0.500 0.000
Cl: 0.500 0.000 0.500
P: 0.000 0.000 0.000
P: 0.000 0.500 0.500

## Properties
The value obtained for the density of states at the Fermi level is 1.2 states/eV/f.u. The value obtained for the magnetic moment is 0.00 μB per formula unit. The uncorrected formation energy comes out at 0.2621 eV per atom.

No. 7
# ReSnSb2I

Crystalline ReSnSb2I at its relaxed geometry (PBE, the Alexandria database).

a b c (Å): 5.687 5.687 5.785
angles (deg): 90.00 90.00 90.00
Site moments in Bohr magnetons follow the coordinates.
Fractional coordinates of all 5 atoms:
I: 0.000 0.000 0.500  -0.04
Re: 0.500 0.500 0.500  3.94
Sn: 0.000 0.000 0.000  -0.01
Sb: 0.000 0.500 0.000  -0.25
Sb: 0.500 0.000 0.000  -0.25

## Properties
The value obtained for the density of states at the Fermi level is 2.9 states/eV/f.u. The value obtained for the magnetic moment is 3.56 μB per formula unit. The uncorrected formation energy comes out at 1.7076 eV per atom.

No. 8
# SrCuMo2

Crystalline SrCuMo2 at its relaxed geometry (PBE, the Alexandria database).

a b c (Å): 5.837 5.837 5.837
angles (deg): 141.07 141.07 56.24
Fractional coordinates of all 4 atoms:
Cu: 0.750 0.250 0.500
Mo: 0.000 0.000 0.000
Mo: 0.500 0.500 0.000
Sr: 0.250 0.750 0.500

## Properties
The value obtained for the density of states at the Fermi level is 4.8 states/eV/f.u. The value obtained for the magnetic moment is 0.00 μB per formula unit.

No. 9
# Ti4Ir2Ru

Crystalline Ti4Ir2Ru at its relaxed geometry (PBE, the Alexandria database).

a b c (Å): 5.314 5.314 5.314
angles (deg): 108.98 109.72 109.72
Fractional coordinates of all 7 atoms:
Ti: 0.500 0.000 0.000
Ti: 0.500 0.500 0.500
Ti: 0.000 0.000 0.500
Ti: 0.000 0.500 0.000
Ir: 0.500 0.500 0.000
Ir: 0.500 0.000 0.500
Ru: 0.000 0.000 0.000

## Properties
The value obtained for the density of states at the Fermi level is 5.4 states/eV/f.u. The value obtained for the magnetic moment is 0.00 μB per formula unit.

No. 10
# ZnSeBr

Crystalline ZnSeBr at its relaxed geometry (PBE, the Alexandria database).

a b c (Å): 4.023 5.971 7.099
angles (deg): 82.48 89.77 70.45
Fractional coordinates of all 6 atoms:
Zn: 0.713 0.905 0.907
Zn: 0.449 0.441 0.598
Se: 0.119 0.094 0.036
Se: 0.930 0.475 0.808
Br: 0.662 0.013 0.554
Br: 0.370 0.603 0.269

## Properties
The value obtained for the magnetic moment is 0.00 μB per formula unit. The uncorrected formation energy comes out at -0.5634 eV per atom.

No. 11
# GdHfAgIr

Crystalline GdHfAgIr at its relaxed geometry (PBE, the Alexandria database).

a b c (Å): 4.867 4.867 4.867
angles (deg): 60.00 60.00 60.00
Site moments in Bohr magnetons follow the coordinates.
Fractional coordinates of all 4 atoms:
Gd: 0.000 0.000 0.000  7.02
Ir: 0.750 0.750 0.750  -0.05
Hf: 0.500 0.500 0.500  0.06
Ag: 0.250 0.250 0.250  0.00

## Properties
The value obtained for the density of states at the Fermi level is 3.3 states/eV/f.u. The value obtained for the magnetic moment is 7.17 μB per formula unit.

No. 12
# TlPbF6

Crystalline TlPbF6 at its relaxed geometry (PBE, the Alexandria database).

a b c (Å): 5.667 5.667 6.228
angles (deg): 62.96 62.93 59.99
Fractional coordinates of all 8 atoms:
Tl: 0.000 0.000 0.000
Pb: 0.500 0.500 0.500
F: 0.122 0.375 0.751
F: 0.752 0.122 0.751
F: 0.625 0.248 0.249
F: 0.248 0.878 0.249
F: 0.878 0.625 0.249
F: 0.375 0.752 0.751

## Properties
The value obtained for the density of states at the Fermi level is 1.1 states/eV/f.u. The value obtained for the magnetic moment is 0.00 μB per formula unit. The uncorrected formation energy comes out at -1.9260 eV per atom.

No. 13
# Pa3In2Te8

Crystalline Pa3In2Te8 at its relaxed geometry (PBE, the Alexandria database).

a b c (Å): 5.279 10.652 9.487
angles (deg): 124.15 89.99 90.00
Site moments in Bohr magnetons follow the coordinates.
Fractional coordinates of all 13 atoms:
Pa: 0.500 0.000 0.000  0.40
Pa: 0.000 0.272 0.000  0.36
Pa: 0.000 0.728 0.000  0.36
In: 0.500 0.258 0.516  0.00
In: 0.500 0.742 0.484  0.00
Te: 0.000 0.621 0.242  -0.01
Te: 0.000 0.379 0.758  -0.01
Te: 0.000 0.108 0.216  -0.03
Te: 0.000 0.892 0.784  -0.03
Te: 0.500 0.643 0.776  -0.02
Te: 0.500 0.133 0.776  -0.02
Te: 0.500 0.867 0.224  -0.02
Te: 0.500 0.357 0.224  -0.02

## Properties
The value obtained for the density of states at the Fermi level is 6.9 states/eV/f.u. The value obtained for the magnetic moment is 1.22 μB per formula unit. The uncorrected formation energy comes out at -0.6148 eV per atom.

No. 14
# Mn2Pd2Cl

Crystalline Mn2Pd2Cl at its relaxed geometry (PBE, the Alexandria database).

a b c (Å): 7.481 7.481 3.067
angles (deg): 90.00 90.00 90.00
Site moments in Bohr magnetons follow the coordinates.
Fractional coordinates of all 10 atoms:
Mn: 0.161 0.661 0.500  4.06
Mn: 0.661 0.839 0.500  4.06
Mn: 0.839 0.339 0.500  4.06
Mn: 0.339 0.161 0.500  4.06
Pd: 0.368 0.868 0.000  0.27
Pd: 0.868 0.632 0.000  0.27
Pd: 0.632 0.132 0.000  0.27
Pd: 0.132 0.368 0.000  0.27
Cl: 0.000 0.000 0.000  0.07
Cl: 0.500 0.500 0.000  0.07

## Properties
The value obtained for the density of states at the Fermi level is 1.6 states/eV/f.u. The value obtained for the magnetic moment is 9.16 μB per formula unit. The uncorrected formation energy comes out at 0.0113 eV per atom.

No. 15
# NpAgPO5

Crystalline NpAgPO5 at its relaxed geometry (PBE, the Alexandria database).

a b c (Å): 5.905 5.905 8.108
angles (deg): 107.31 107.31 98.32
Site moments in Bohr magnetons follow the coordinates.
Fractional coordinates of all 16 atoms:
Np: 0.000 0.000 0.500  3.11
Np: 0.000 0.000 0.000  3.11
Ag: 0.322 0.678 0.250  -0.01
Ag: 0.678 0.322 0.750  -0.01
P: 0.663 0.337 0.250  0.01
P: 0.337 0.663 0.750  0.01
O: 0.076 0.924 0.250  -0.10
O: 0.924 0.076 0.750  -0.10
O: 0.817 0.293 0.124  -0.01
O: 0.183 0.707 0.876  -0.01
O: 0.707 0.183 0.376  -0.01
O: 0.293 0.817 0.624  -0.01
O: 0.729 0.616 0.370  -0.02
O: 0.271 0.384 0.630  -0.02
O: 0.384 0.271 0.130  -0.02
O: 0.616 0.729 0.870  -0.02

## Properties
The value obtained for the density of states at the Fermi level is 7.7 states/eV/f.u. The value obtained for the magnetic moment is 3.00 μB per formula unit. The uncorrected formation energy comes out at -2.1563 eV per atom.

No. 16
# Dy4Cu2Ag

Crystalline Dy4Cu2Ag at its relaxed geometry (PBE, the Alexandria database).

a b c (Å): 7.872 7.863 7.813
angles (deg): 108.78 108.83 111.08
Fractional coordinates of all 14 atoms:
Dy: 0.926 0.243 0.314
Dy: 0.325 0.507 0.187
Dy: 0.929 0.612 0.686
Dy: 0.757 0.075 0.687
Dy: 0.388 0.071 0.313
Dy: 0.320 0.138 0.813
Dy: 0.493 0.676 0.814
Dy: 0.862 0.679 0.186
Cu: 0.625 0.375 0.750
Cu: 0.625 0.875 0.250
Cu: 0.625 0.375 0.250
Cu: 0.125 0.375 0.750
Ag: 0.250 0.750 0.500
Ag: 0.000 0.000 0.000

## Properties
The value obtained for the density of states at the Fermi level is 6.1 states/eV/f.u. The value obtained for the magnetic moment is 0.00 μB per formula unit.

No. 17
# TbTm6Th3

Crystalline TbTm6Th3 at its relaxed geometry (PBE, the Alexandria database).

a b c (Å): 9.766 9.766 6.886
angles (deg): 44.84 44.84 60.00
Fractional coordinates of all 10 atoms:
Tb: 0.850 0.850 0.449
Tm: 0.931 0.598 0.205
Tm: 0.265 0.931 0.205
Tm: 0.598 0.265 0.205
Tm: 0.101 0.434 0.696
Tm: 0.769 0.101 0.696
Tm: 0.434 0.769 0.696
Th: 0.350 0.350 0.949
Th: 0.602 0.602 0.195
Th: 0.099 0.099 0.704

## Properties
The value obtained for the density of states at the Fermi level is 19.1 states/eV/f.u. The value obtained for the magnetic moment is 0.00 μB per formula unit.

In eV/atom, the electronic total energy values for the records above are, in order, -4.064, -2.630, -5.766, -4.182, -3.739, -3.617, -3.542, -5.866, -8.977, -2.707, -9.345, -4.089, -5.161, -6.103, -7.905, -4.220, -4.997.